1.
VASP calculation (PBE) on an optimized crystal structure of La2PrAl6.

## Properties
* ΔH_f (0 K): -0.46 eV/atom
* total DFT energy (no corrections): -41.25 eV/cell
* D(E_F): 0.734 states/eV per atom
* spin magnetization: 0.00 μB/f.u.

Cell lengths 7.9948, 7.9948, 3.9150 Å; angles 90.00, 90.00, 120.00 degrees
With the nearest neighbours (Å) after each atom.
Space group P6/mmm (No. 191)
Unique sites:
La  0.3333  0.6667  0.0000 x2  12 Al 3.31
Pr  0.0000  0.0000  0.0000 x1  12 Al 3.30
Al  0.0000  0.3326  0.5000 x6  3 Al 2.66-2.68



2.
VASP calculation (PBE) on an optimized crystal structure of La14PrAl.

## Properties
* ΔH_f (0 K): -0.03 eV/atom
* total DFT energy (no corrections): -156.01 eV/cell
* D(E_F): 1.332 states/eV per atom
* spin magnetization: 0.00 μB/f.u.

Cell lengths 10.3296, 10.3640, 10.3605 Å; angles 90.00, 90.00, 90.00 degrees
With the nearest neighbours (Å) after each atom.
Space group Amm2 (No. 38)
Unique sites:
La  0.0000  0.0000  0.0000 x2  12 La 3.66-3.83
La  0.0000  0.0000  0.4996 x2  12 La 3.63-3.67
La  0.0000  0.2492  0.2498 x4  12 La 3.66-3.74
La  0.2590  0.0000  0.7368 x4  10 La 3.47-3.86, 1 Al 3.49, 1 Pr 3.69
La  0.2602  0.2369  0.4999 x8  10 La 3.47-3.86, 1 Al 3.49, 1 Pr 3.68
La  0.2610  0.0000  0.2628 x4  10 La 3.47-3.85, 1 Al 3.49, 1 Pr 3.68
La  0.5000  0.2487  0.7499 x4  8 La 3.59, 2 Al 3.65-3.67, 2 Pr 3.65-3.67
Pr  0.5000  0.0000  0.9998 x2  12 La 3.65-3.69
Al  0.5000  0.0000  0.5002 x2  12 La 3.49-3.67



3.
VASP calculation (PBE) on an optimized crystal structure of La8Pr6Al.

## Properties
* ΔH_f (0 K): 0.06 eV/atom
* total DFT energy (no corrections): -70.91 eV/cell
* D(E_F): 1.473 states/eV per atom
* spin magnetization: 0.00 μB/f.u.

Cell lengths 9.5333, 9.5333, 6.7578 Å; angles 90.00, 90.00, 120.00 degrees
With the nearest neighbours (Å) after each atom.
Space group P-3 (No. 147)
Unique sites:
La  0.0453  0.2673  0.1837 x6  1 Al 3.19, 2 Pr 3.42-3.57, 3 La 3.42-3.43
La  0.3333  0.6667  0.1290 x2  3 La 3.42
Pr  0.0931  0.4416  0.6634 x6  1 Pr 3.35, 3 La 3.42-3.61
Al  0.0000  0.0000  0.5000 x1  6 La 3.19



4.
VASP calculation (PBE) on an optimized crystal structure of La15Pr4Al.

## Properties
* ΔH_f (0 K): -0.02 eV/atom
* total DFT energy (no corrections): -97.20 eV/cell
* D(E_F): 1.519 states/eV per atom
* spin magnetization: 0.00 μB/f.u.

Cell lengths 5.1953, 5.1953, 26.1596 Å; angles 90.00, 90.00, 90.00 degrees
With the nearest neighbours (Å) after each atom.
Space group P4/mmm (No. 123)
Unique sites:
La  0.0000  0.0000  0.0000 x1  8 La 3.55, 4 Al 3.67
La  0.0000  0.0000  0.1955 x2  4 Pr 3.67, 8 La 3.68-3.75
La  0.0000  0.0000  0.3987 x2  4 Pr 3.67, 8 La 3.71-3.75
La  0.0000  0.5000  0.0923 x4  8 La 3.55-3.75, 2 Al 3.55, 2 Pr 3.73
La  0.0000  0.5000  0.2953 x4  8 La 3.67-3.75, 4 Pr 3.70-3.75
La  0.0000  0.5000  0.5000 x2  8 La 3.67-3.71, 4 Pr 3.71
Pr  0.5000  0.5000  0.1944 x2  12 La 3.67-3.73
Pr  0.5000  0.5000  0.3987 x2  12 La 3.67-3.75
Al  0.5000  0.5000  0.0000 x1  12 La 3.55-3.67



5.
VASP calculation (PBE) on an optimized crystal structure of La5PrAl3.

## Properties
* ΔH_f (0 K): -0.23 eV/atom
* total DFT energy (no corrections): -85.44 eV/cell
* D(E_F): 1.218 states/eV per atom
* spin magnetization: 0.00 μB/f.u.

Cell lengths 9.4508, 9.4508, 7.0313 Å; angles 90.00, 90.00, 120.00 degrees
With the nearest neighbours (Å) after each atom.
Space group P6_3/mcm (No. 193)
Unique sites:
La  0.0000  0.3357  0.2500 x6  5 Al 3.15-3.52
La  0.3333  0.6667  0.0000 x4  8 La 3.52-3.60, 6 Al 3.62
Pr  0.0000  0.0000  0.0000 x2  2 Pr 3.52, 6 Al 3.58, 6 La 3.63
Al  0.0000  0.3302  0.7500 x6  5 La 3.15-3.52



6.
VASP calculation (PBE) on an optimized crystal structure of La6PrAl.

## Properties
* ΔH_f (0 K): 0.32 eV/atom
* total DFT energy (no corrections): -35.57 eV/cell
* D(E_F): 1.736 states/eV per atom
* spin magnetization: 0.00 μB/f.u.

Cell lengths 7.0079, 7.0089, 8.1374 Å; angles 64.78, 64.80, 60.09 degrees
With the nearest neighbours (Å) after each atom.
Space group P-1 (No. 2)
Unique sites:
La  0.0526  0.4401  0.2598 x2  1 Al 2.98, 1 Pr 3.06
La  0.2546  0.9472  0.7404 x2  1 Al 2.97, 1 Pr 3.05
La  0.4411  0.7471  0.2601 x2  1 Al 2.98, 1 Pr 3.05
Pr  0.5000  0.5000  0.0000 x1  6 La 3.05-3.06
Al  0.0000  0.0000  0.5000 x1  6 La 2.97-2.98



7.
VASP calculation (PBE) on an optimized crystal structure of La2PrAl4.

## Properties
* ΔH_f (0 K): -0.39 eV/atom
* total DFT energy (no corrections): -64.69 eV/cell
* D(E_F): 0.988 states/eV per atom
* spin magnetization: 0.00 μB/f.u.

Cell lengths 4.3860, 4.4192, 19.7406 Å; angles 90.00, 90.00, 90.00 degrees
With the nearest neighbours (Å) after each atom.
Space group Immm (No. 71)
Unique sites:
La  0.0000  0.0000  0.1863 x4  7 Al 3.26-3.51
Pr  0.0000  0.5000  0.5000 x2  12 Al 3.36-3.48
Al  0.0000  0.0000  0.3640 x4  2 Al 2.61
Al  0.0000  0.5000  0.0646 x4  3 Al 2.55-2.61



8.
VASP calculation (PBE) on an optimized crystal structure of La5Pr12Al2.

## Properties
* ΔH_f (0 K): 0.04 eV/atom
* total DFT energy (no corrections): -177.44 eV/cell
* D(E_F): 1.396 states/eV per atom
* spin magnetization: 0.00 μB/f.u.

Cell lengths 18.5222, 8.1489, 9.2119 Å; angles 90.00, 108.54, 90.00 degrees
With the nearest neighbours (Å) after each atom.
Space group C2/m (No. 12)
Unique sites:
La  0.0000  0.0000  0.0000 x2  10 Pr 3.50-3.87
La  0.1826  0.5000  0.6677 x4  2 Al 3.50, 6 Pr 3.58-3.86
La  0.2493  0.5000  0.2763 x4  9 Pr 3.50-3.84
Pr  0.0159  0.5000  0.1915 x4  2 Al 3.23, 3 Pr 3.33-3.39
Pr  0.0534  0.0000  0.6668 x4  3 Pr 3.08-3.41, 2 Al 3.16
Pr  0.1347  0.2013  0.3666 x8  2 Pr 3.28-3.33, 1 Al 3.31, 2 La 3.50-3.58
Pr  0.1530  0.2342  0.9712 x8  5 Pr 3.41-3.82, 3 La 3.50-3.71
Al  0.0000  0.3388  0.5000 x4  1 Al 2.63